Entry 1:
First-principles (PBE-GGA) data for a geometry-optimized ZrSc2Tc2 structure, as listed in Alexandria via LeMat-Bulk.

ΔH_f (0 K)   -0.3 eV/f.u.
Relative energy among the computed polymorphs   0.111 eV/atom

Unit cell a=7.360 b=7.360 c=3.524 alpha=90.00 beta=90.00 gamma=90.00
Space group P4/mbm (No. 127)
Inequivalent atoms, fractional coordinates:
Zr (0.000, 0.000, 0.000) (multiplicity 2)
Sc (0.148, 0.352, 0.500) (multiplicity 4)
Tc (0.154, 0.654, 0.000) (multiplicity 4)

***

Entry 2:
First-principles (PBE-GGA) data for a geometry-optimized Zr4ScTc structure, as listed in Alexandria via LeMat-Bulk.

ΔH_f (0 K)   2.8 eV/f.u.
Relative energy among the computed polymorphs   0.578 eV/atom

Unit cell a=8.058 b=8.058 c=8.058 alpha=90.00 beta=90.00 gamma=90.00
Space group F-43m (No. 216)
Inequivalent atoms, fractional coordinates:
Zr (0.124, 0.124, 0.376) (multiplicity 16)
Sc (0.000, 0.000, 0.000) (multiplicity 4)
Tc (0.250, 0.250, 0.750) (multiplicity 4)